(1)
Material: AcAgS3
Method: DFT, PBE
State: optimized geometry

D(E_F) in states/eV per cell: 1.7
SG: Pm-3m (221)

Lattice parameters (Å, degrees): 4.8584 4.8584 4.8584 90.00 90.00 90.00
Last column: nearest neighbours and their distance in Å.
Element x y z (fractional)
1 S 0.5000 0.0000 0.0000  2 Ag 2.43
2 Ac 0.5000 0.5000 0.5000  12 S 3.44
3 S 0.0000 0.5000 0.0000  2 Ag 2.43
4 S 0.0000 0.0000 0.5000  2 Ag 2.43
5 Ag 0.0000 0.0000 0.0000  6 S 2.43

***

(2)
Material: AcAgS3
Method: DFT, PBE
State: optimized geometry

SG: C2/c (15)

Lattice parameters (Å, degrees): 8.3337 8.3337 9.1233 112.42 112.42 99.23
Last column: nearest neighbours and their distance in Å.
Element x y z (fractional)
1 S 0.3166 0.3347 0.0003  3 Ag 2.62-2.72
2 S 0.3683 0.9349 0.1264  1 S 2.15
3 S 0.0651 0.6317 0.3736  1 S 2.15
4 Ag 0.4874 0.2936 0.7974  4 S 2.58-2.72
5 S 0.1948 0.9121 0.5945  1 S 2.15
6 S 0.6653 0.6834 0.4997  3 Ag 2.62-2.72
7 S 0.6834 0.6653 0.9997  3 Ag 2.62-2.72
8 S 0.3347 0.3166 0.5003  3 Ag 2.62-2.72
9 S 0.8052 0.0879 0.4055  1 S 2.15
10 S 0.9349 0.3683 0.6264  1 S 2.15
11 Ac 0.6665 0.3335 0.2500  8 S 2.94-3.29
12 S 0.6317 0.0651 0.8736  1 S 2.15
13 Ag 0.2936 0.4874 0.2974  4 S 2.58-2.72
14 Ac 0.0643 0.9357 0.2500  8 S 2.94-3.18
15 Ag 0.5126 0.7064 0.2026  4 S 2.58-2.72
16 Ac 0.9357 0.0643 0.7500  8 S 2.94-3.18
17 S 0.9121 0.1948 0.0945  1 S 2.15
18 S 0.0879 0.8052 0.9055  1 S 2.15
19 Ag 0.7064 0.5126 0.7026  4 S 2.58-2.72
20 Ac 0.3335 0.6665 0.7500  8 S 2.94-3.29

***

(3)
Material: AcAgS3
Method: DFT, PBE
State: optimized geometry

D(E_F) in states/eV per cell: 1.2
SG: Pmm2 (25)

Lattice parameters (Å, degrees): 4.4508 4.7698 5.7695 90.00 90.00 90.00
Last column: nearest neighbours and their distance in Å.
Element x y z (fractional)
1 S 0.9908 0.6449 0.3269  1 Ag 2.58
2 Ag 0.9908 0.6450 0.8795  5 S 2.58-2.60
3 S 0.4908 0.9088 0.7986  2 S 2.25-2.52
4 Ac 0.4907 0.1450 0.3018  8 S 3.08-3.27
5 S 0.4908 0.3811 0.7986  2 S 2.25-2.52

***

In terms of stability, (2) leads; the second structure lies 14.2 kJ/mol of atoms higher.